No. 1
Material: Rb5HgSe3
Method: DFT, PBE
State: relaxed

Computed properties:
Size of the total moment   0.00 Bohr magnetons per cell
Energy relative to the elements, uncorrected   -87 kJ per mole of atoms
Density   3539 kg/m³

a = 18.9645 Å, b = 8.2923 Å, c = 10.7686 Å
α = 90.00°, β = 106.56°, γ = 90.00°
Space group C2/c (No. 15)
Inequivalent atoms, fractional coordinates:
Rb (0.0000, 0.1023, 0.2500)
Rb (0.1655, 0.2563, 0.0753)
Rb (0.1670, 0.2525, 0.5906)
Hg (0.0000, 0.4409, 0.7500)
Se (0.0000, 0.5000, 0.0000)
Se (0.1783, 0.0061, 0.3391)

---

No. 2
Material: Al3Fe2Ag
Method: DFT, PBE
State: relaxed

Computed properties:
Size of the total moment   0.90 Bohr magnetons per cell
Formation energy from the elements   -0.258 eV/atom
Fermi-level density of states   0.806 states/eV/atom
Density   6214 kg/m³

a = 2.8879 Å, b = 2.8879 Å, c = 9.6280 Å
α = 90.00°, β = 90.00°, γ = 90.00°
Space group P4/mmm (No. 123)
Inequivalent atoms, fractional coordinates:
Al (0.0000, 0.0000, 0.0000)
Al (0.0000, 0.0000, 0.2910)
Fe (0.5000, 0.5000, 0.1504)
Ag (0.5000, 0.5000, 0.5000)

---

No. 3
Material: VPICl2
Method: DFT, PBE
State: relaxed

Computed properties:
Size of the total moment   2.99 Bohr magnetons per cell
Energy relative to the elements, uncorrected   100 kJ per mole of atoms
Fermi-level density of states   0.849 states/eV/atom
Density   3010 kg/m³

a = 5.3584 Å, b = 5.3584 Å, c = 5.3750 Å
α = 90.00°, β = 90.00°, γ = 90.00°
Space group P4/mmm (No. 123)
Inequivalent atoms, fractional coordinates:
V (0.0000, 0.0000, 0.0000)
P (0.5000, 0.5000, 0.0000)
I (0.5000, 0.5000, 0.5000)
Cl (0.0000, 0.5000, 0.5000)

---

No. 4
Material: Be2AlAg
Method: DFT, PBE
State: relaxed

Computed properties:
Size of the total moment   0.00 Bohr magnetons per cell
Formation energy from the elements   0.189 eV/atom
Fermi-level density of states   0.242 states/eV/atom
Density   4981 kg/m³

a = 2.7990 Å, b = 3.9055 Å, c = 4.7599 Å
α = 90.00°, β = 101.64°, γ = 90.00°
Space group Pm (No. 6)
Inequivalent atoms, fractional coordinates:
Be (0.0000, 0.0000, 0.0000)
Be (0.1194, 0.5000, 0.2465)
Al (0.4369, 0.5000, 0.8044)
Ag (0.6647, 0.0000, 0.4484)